No. 1
## Li2PtBr (PBE)

Data for a relaxed structure of Li2PtBr.

Results
The density of states at the Fermi level comes out at 0.14 states/eV per atom. Its space group is Cmmm (65). Its total energy is -3.517 eV/atom. The relative energy among the computed polymorphs is 0.000 eV/atom. Its energy relative to the elements, uncorrected is -2.5 eV per formula unit.

Cell and atoms, written as extended XYZ:
```
4
Lattice="2.304 -2.307 0.000 2.304 2.307 0.000 0.000 0.000 6.038" Properties=species:S:1:pos:R:3 pbc="T T T"
Li 0.000 0.000 1.450
Li 0.000 0.000 4.588
Pt 2.304 0.000 0.000
Br 2.304 0.000 3.019
```

---

No. 2
## Al3ReGe (PBE)

Data for a relaxed structure of Al3ReGe.

Results
The calculation puts the formation energy at 0.52 eV/atom. The density of states at the Fermi level comes out at 0.06 states/eV per atom. Its space group is Pm-3m (221). Its total energy is -5.137 eV/atom. The relative energy among the computed polymorphs is 0.000 eV/atom.

Cell and atoms, written as extended XYZ:
```
5
Lattice="4.793 0.000 0.000 0.000 4.793 0.000 0.000 0.000 4.793" Properties=species:S:1:pos:R:3 pbc="T T T"
Al 0.000 0.000 2.397
Al 0.000 2.397 0.000
Al 2.397 0.000 0.000
Re 0.000 0.000 0.000
Ge 2.397 2.397 2.397
```

---

No. 3
## TeSeI2Br (PBE)

Data for a relaxed structure of TeSeI2Br.

Results
The density of states at the Fermi level comes out at 1.40 states/eV per atom. Its space group is P4/mmm (123). Its total energy is -1.880 eV/atom. The relative energy among the computed polymorphs is 0.000 eV/atom. Its energy relative to the elements, uncorrected is 2.0 eV per formula unit.

Cell and atoms, written as extended XYZ:
```
5
Lattice="5.611 0.000 0.000 0.000 5.611 0.000 0.000 0.000 5.742" Properties=species:S:1:pos:R:3 pbc="T T T"
Te 0.000 0.000 0.000
Se 0.000 0.000 2.871
I 0.000 2.806 2.871
I 2.806 0.000 2.871
Br 2.806 2.806 0.000
```

---

No. 4
## Na4EuCd (PBE)

Data for a relaxed structure of Na4EuCd.

Results
The calculation puts the formation energy at 0.08 eV/atom. The density of states at the Fermi level comes out at 2.48 states/eV per atom. Its space group is F-43m (216). Its total energy is -2.666 eV/atom.

Cell and atoms, written as extended XYZ:
```
6
Lattice="0.000 4.630 4.630 4.630 0.000 4.630 4.630 4.630 0.000" Properties=species:S:1:pos:R:3 pbc="T T T"
Na 3.482 3.482 3.482
Na 5.778 5.778 3.482
Na 5.778 3.482 5.778
Na 3.482 5.778 5.778
Eu 0.000 0.000 0.000
Cd 6.945 6.945 6.945
```

---

No. 5
## Ca2MgAl3Zn12 (PBE)

Data for a relaxed structure of Ca2MgAl3Zn12.

Results
The calculation puts the formation energy at 0.01 eV/atom. The density of states at the Fermi level comes out at 0.49 states/eV per atom. Its space group is R-3m (166). Its total energy is -1.776 eV/atom.

Cell and atoms, written as extended XYZ:
```
18
Lattice="4.731 2.732 4.316 -4.731 2.732 4.316 0.000 -5.463 4.316" Properties=species:S:1:pos:R:3 pbc="T T T"
Ca 0.000 0.000 2.804
Ca 0.000 0.000 10.144
Mg 0.000 0.000 6.474
Al -2.366 -1.366 4.316
Al -2.366 1.366 8.632
Al 0.000 2.732 4.316
Zn 0.000 -3.031 3.462
Zn -2.625 1.516 3.462
Zn -2.306 -1.332 6.995
Zn 0.000 -2.663 5.953
Zn -2.306 1.332 5.953
Zn -2.625 -1.516 9.486
Zn 2.625 1.516 3.462
Zn 2.306 -1.332 6.995
Zn 0.000 2.663 6.995
Zn 2.306 1.332 5.953
Zn 2.625 -1.516 9.486
Zn 0.000 3.031 9.486
```

---

No. 6
## OsAu2Br (PBE)

Data for a relaxed structure of OsAu2Br.

Results
The density of states at the Fermi level comes out at 0.75 states/eV per atom. Its space group is P4/mmm (123). Its total energy is -4.145 eV/atom. The relative energy among the computed polymorphs is 0.095 eV/atom. Its energy relative to the elements, uncorrected is 2.9 eV per formula unit.

Cell and atoms, written as extended XYZ:
```
4
Lattice="2.768 0.000 0.000 0.000 2.768 0.000 0.000 0.000 11.449" Properties=species:S:1:pos:R:3 pbc="T T T"
Os 0.000 0.000 0.000
Au 1.384 1.384 2.081
Au 1.384 1.384 9.369
Br 0.000 0.000 5.725
```

---

No. 7
## ErHf2Fe (PBE)

Data for a relaxed structure of ErHf2Fe.

Results
The calculation puts the formation energy at 0.30 eV/atom. The density of states at the Fermi level comes out at 1.12 states/eV per atom. Its space group is R-3m (166). Its total energy is -7.931 eV/atom. The relative energy among the computed polymorphs is 0.292 eV/atom.

Cell and atoms, written as extended XYZ:
```
4
Lattice="1.609 0.929 9.903 -1.609 0.929 9.903 0.000 -1.858 9.903" Properties=species:S:1:pos:R:3 pbc="T T T"
Er 0.000 0.000 0.000
Hf 0.000 0.000 3.193
Hf 0.000 0.000 26.516
Fe 0.000 0.000 14.855
```

---

No. 8
## La8Ga2Os (PBE)

Data for a relaxed structure of La8Ga2Os.

Results
The calculation puts the formation energy at -0.25 eV/atom. The density of states at the Fermi level comes out at 0.99 states/eV per atom. Its space group is C2/m (12). Its total energy is -5.406 eV/atom. The relative energy among the computed polymorphs is 0.000 eV/atom.

Cell and atoms, written as extended XYZ:
```
11
Lattice="9.452 -2.628 0.000 9.452 2.628 0.000 -1.977 0.000 6.688" Properties=species:S:1:pos:R:3 pbc="T T T"
La -0.271 0.000 1.949
La 2.447 0.000 5.238
La 5.449 0.000 3.674
La 7.587 0.000 0.485
La 9.340 0.000 6.204
La 11.478 0.000 3.014
La 14.480 0.000 1.451
La 17.198 0.000 4.740
Ga 3.011 0.000 1.417
Ga 13.916 0.000 5.272
Os 8.463 0.000 3.344
```

---

No. 9
## Pm2ReGe (PBE)

Data for a relaxed structure of Pm2ReGe.

Results
The calculation puts the formation energy at 0.61 eV/atom. The density of states at the Fermi level comes out at 0.94 states/eV per atom. Its space group is R-3m (166). Its total energy is -6.030 eV/atom.

Cell and atoms, written as extended XYZ:
```
4
Lattice="1.562 0.902 10.782 -1.562 0.902 10.782 0.000 -1.804 10.782" Properties=species:S:1:pos:R:3 pbc="T T T"
Pm 0.000 0.000 2.846
Pm 0.000 0.000 29.499
Re 0.000 0.000 0.000
Ge 0.000 0.000 16.172
```

---

No. 10
## MnBe2Nb2Fe5 (PBE)

Data for a relaxed structure of MnBe2Nb2Fe5.

Results
The calculation puts the formation energy at -0.09 eV/atom. The density of states at the Fermi level comes out at 0.99 states/eV per atom. Its space group is P4/mbm (127). Its total energy is -7.996 eV/atom.

Cell and atoms, written as extended XYZ:
```
20
Lattice="8.702 0.000 0.000 0.000 8.702 0.000 0.000 0.000 3.008" Properties=species:S:1:pos:R:3 pbc="T T T"
Mn 0.000 0.000 0.000
Mn 4.351 4.351 0.000
Be 1.056 3.296 0.000
Be 3.296 7.647 0.000
Be 5.407 1.056 0.000
Be 7.647 5.407 0.000
Nb 1.527 5.878 0.000
Nb 2.825 1.527 0.000
Nb 5.878 7.176 0.000
Nb 7.176 2.825 0.000
Fe 0.000 4.351 1.504
Fe 0.585 1.818 1.504
Fe 1.818 8.117 1.504
Fe 2.533 3.766 1.504
Fe 3.766 6.170 1.504
Fe 4.351 0.000 1.504
Fe 4.936 2.533 1.504
Fe 6.170 4.936 1.504
Fe 6.884 0.585 1.504
Fe 8.117 6.884 1.504
```

---

No. 11
## CdSb2Rh (PBE)

Data for a relaxed structure of CdSb2Rh.

Results
The density of states at the Fermi level comes out at 0.59 states/eV per atom. Its space group is Pmmm (47). Its total energy is -4.261 eV/atom. Its energy relative to the elements, uncorrected is -0.5 eV per formula unit.

Cell and atoms, written as extended XYZ:
```
4
Lattice="3.252 0.000 0.000 0.000 3.265 0.000 0.000 0.000 8.549" Properties=species:S:1:pos:R:3 pbc="T T T"
Cd 0.000 0.000 0.000
Sb 1.626 1.633 2.616
Sb 1.626 1.633 5.933
Rh 0.000 0.000 4.275
```

---

No. 12
## CoTcAg2 (PBE)

Data for a relaxed structure of CoTcAg2.

Results
The calculation puts the formation energy at 0.66 eV/atom. The density of states at the Fermi level comes out at 0.89 states/eV per atom. Its space group is P4/mmm (123). Its total energy is -5.138 eV/atom. The relative energy among the computed polymorphs is 0.392 eV/atom.

Cell and atoms, written as extended XYZ:
```
4
Lattice="3.784 0.000 0.000 0.000 3.784 0.000 0.000 0.000 4.342" Properties=species:S:1:pos:R:3 pbc="T T T"
Co 0.000 0.000 0.000
Tc 1.892 1.892 0.000
Ag 0.000 1.892 2.171
Ag 1.892 0.000 2.171
```

---

No. 13
## Sn2PPt2 (PBE)

Data for a relaxed structure of Sn2PPt2.

Results
The calculation puts the formation energy at -0.07 eV/atom. The density of states at the Fermi level comes out at 0.52 states/eV per atom. Its space group is P4/mbm (127). Its total energy is -5.172 eV/atom.

Cell and atoms, written as extended XYZ:
```
10
Lattice="7.179 0.000 0.000 0.000 7.179 0.000 0.000 0.000 3.804" Properties=species:S:1:pos:R:3 pbc="T T T"
Sn 1.175 2.415 0.000
Sn 2.415 6.004 0.000
Sn 4.764 1.175 0.000
Sn 6.004 4.764 0.000
P 0.000 0.000 1.902
P 3.589 3.589 1.902
Pt 1.016 4.605 1.902
Pt 2.574 1.016 1.902
Pt 4.605 6.163 1.902
Pt 6.163 2.574 1.902
```

---

No. 14
## LaCuHg (PBE)

Data for a relaxed structure of LaCuHg.

Results
The calculation puts the formation energy at -0.20 eV/atom. The density of states at the Fermi level comes out at 0.54 states/eV per atom. Its space group is I4mm (107). Its total energy is -3.310 eV/atom.

Cell and atoms, written as extended XYZ:
```
3
Lattice="-1.905 1.905 4.988 1.905 -1.905 4.988 1.905 1.905 -4.988" Properties=species:S:1:pos:R:3 pbc="T T T"
La 0.000 0.000 0.000
Cu 0.000 0.000 3.259
Hg 0.000 0.000 6.858
```

---

No. 15
## TlInOs2 (PBE)

Data for a relaxed structure of TlInOs2.

Results
The calculation puts the formation energy at 0.99 eV/atom. The density of states at the Fermi level comes out at 0.80 states/eV per atom. Its space group is Pmmm (47). Its total energy is -5.905 eV/atom. The relative energy among the computed polymorphs is 0.569 eV/atom.

Cell and atoms, written as extended XYZ:
```
4
Lattice="3.055 0.000 0.000 0.000 4.608 0.000 0.000 0.000 5.145" Properties=species:S:1:pos:R:3 pbc="T T T"
Tl 0.000 0.000 0.000
In 1.528 0.000 2.572
Os 0.000 2.304 2.572
Os 1.528 2.304 0.000
```

---

No. 16
## Sr3Li2Pd3 (PBE)

Data for a relaxed structure of Sr3Li2Pd3.

Results
The calculation puts the formation energy at -0.36 eV/atom. The density of states at the Fermi level comes out at 0.44 states/eV per atom. Its space group is Cmcm (63). Its total energy is -3.416 eV/atom. The relative energy among the computed polymorphs is 0.117 eV/atom.

Cell and atoms, written as extended XYZ:
```
16
Lattice="2.240 -5.608 0.000 2.240 5.608 0.000 0.000 0.000 16.944" Properties=species:S:1:pos:R:3 pbc="T T T"
Sr 2.240 4.052 9.513
Sr 2.240 4.052 15.903
Sr 2.240 3.817 4.236
Sr 2.240 -3.817 12.708
Sr 2.240 -4.052 1.041
Sr 2.240 -4.052 7.431
Li 2.240 0.545 3.029
Li 2.240 0.545 5.443
Li 2.240 -0.545 11.501
Li 2.240 -0.545 13.915
Pd 2.240 4.197 12.708
Pd 2.240 0.889 9.514
Pd 2.240 0.889 15.902
Pd 2.240 -0.889 1.042
Pd 2.240 -0.889 7.430
Pd 2.240 -4.197 4.236
```

---

No. 17
## CaPAu (PBE)

Data for a relaxed structure of CaPAu.

Results
The calculation puts the formation energy at 0.50 eV/atom. The density of states at the Fermi level comes out at 0.05 states/eV per atom. Its space group is P6_3/mmc (194). Its total energy is -3.062 eV/atom.

Cell and atoms, written as extended XYZ:
```
6
Lattice="5.117 0.000 0.000 -2.559 4.432 0.000 0.000 0.000 11.383" Properties=species:S:1:pos:R:3 pbc="T T T"
Ca 0.000 0.000 2.846
Ca 0.000 0.000 8.537
P 0.000 0.000 0.000
P 0.000 0.000 5.692
Au 0.000 2.955 2.846
Au 2.559 1.477 8.537
```

---

No. 18
## Nd5Bi4Rh (PBE)

Data for a relaxed structure of Nd5Bi4Rh.

Results
The calculation puts the formation energy at -0.77 eV/atom. The density of states at the Fermi level comes out at 0.07 states/eV per atom. Its space group is I4 (79). Its total energy is -5.445 eV/atom.

Cell and atoms, written as extended XYZ:
```
10
Lattice="-5.048 5.048 3.241 5.048 -5.048 3.241 5.048 5.048 -3.241" Properties=species:S:1:pos:R:3 pbc="T T T"
Nd 0.000 0.000 0.000
Nd 6.019 2.203 0.660
Nd 2.203 4.076 0.660
Nd 2.844 0.971 3.901
Nd -0.971 2.844 3.901
Bi 7.064 -0.926 0.662
Bi 3.031 0.926 0.662
Bi -0.926 3.031 0.662
Bi 0.926 7.064 0.662
Rh 0.000 0.000 3.686
```